1.
Material: AlZn2Pt
Method: DFT, PBE
State: optimized geometry

Results
**Crystal system**: trigonal
**Total DFT energy (no corrections)**: -3.313 eV per atom
**ΔE_f**: -0.9 eV per formula unit
**M_tot**: 0.00 μB per cell

abc: 8.763 8.763 8.763
angles: 18.87 18.87 18.87
Element x y z (fractional)
Al (0.250, 0.250, 0.250)
Zn (0.498, 0.498, 0.498)
Zn (0.002, 0.002, 0.002)
Pt (0.750, 0.750, 0.750)

=====

2.
Material: AlZnPt4
Method: DFT, PBE
State: optimized geometry

Results
**Crystal system**: cubic
**Energy relative to the lowest polymorph listed for this composition**: 2.50 eV/f.u.
**Total DFT energy (no corrections)**: -4.948 eV per atom
**ΔE_f**: -0.5 eV per formula unit
**M_tot**: 0.00 μB per cell

abc: 5.268 5.268 5.268
angles: 60.00 60.00 60.00
Element x y z (fractional)
Pt (0.375, 0.375, 0.875)
Pt (0.875, 0.375, 0.375)
Pt (0.375, 0.875, 0.375)
Pt (0.375, 0.375, 0.375)
Al (0.000, 0.000, 0.000)
Zn (0.750, 0.750, 0.750)

=====

3.
Material: Al2Zn2Pt
Method: DFT, PBE
State: optimized geometry

Results
**Crystal system**: tetragonal
**Energy relative to the lowest polymorph listed for this composition**: 0.31 eV/f.u.
**Total DFT energy (no corrections)**: -3.328 eV per atom
**ΔE_f**: -0.6 eV per formula unit
**M_tot**: 0.00 μB per cell

abc: 7.382 7.382 7.382
angles: 153.21 153.21 38.26
Element x y z (fractional)
Al (0.406, 0.406, 0.000)
Al (0.594, 0.594, 0.000)
Pt (0.000, 0.000, 0.000)
Zn (0.250, 0.750, 0.500)
Zn (0.750, 0.250, 0.500)

=====

4.
Material: AlZn2Pt
Method: DFT, PBE
State: optimized geometry

Results
**Crystal system**: tetragonal
**Total DFT energy (no corrections)**: -3.538 eV per atom
**ΔE_f**: -1.8 eV per formula unit
**M_tot**: 0.00 μB per cell

abc: 3.332 3.332 5.407
angles: 90.00 90.00 90.00
Element x y z (fractional)
Zn (0.000, 0.000, 0.012)
Zn (0.500, 0.500, 0.238)
Al (0.000, 0.000, 0.516)
Pt (0.500, 0.500, 0.734)

=====

Copy entry 3 word for word.
Material: Al2Zn2Pt
Method: DFT, PBE
State: optimized geometry

Results
**Crystal system**: tetragonal
**Energy relative to the lowest polymorph listed for this composition**: 0.31 eV/f.u.
**Total DFT energy (no corrections)**: -3.328 eV per atom
**ΔE_f**: -0.6 eV per formula unit
**M_tot**: 0.00 μB per cell

abc: 7.382 7.382 7.382
angles: 153.21 153.21 38.26
Element x y z (fractional)
Al (0.406, 0.406, 0.000)
Al (0.594, 0.594, 0.000)
Pt (0.000, 0.000, 0.000)
Zn (0.250, 0.750, 0.500)
Zn (0.750, 0.250, 0.500)